The following is a DFT calculation (PBE-GGA) of a relaxed structure of Sr2PtO.

Lattice parameters (Å, degrees): 3.348 3.348 7.174 90.00 90.00 90.00
Fractional positions:
Sr  0.000  0.000  0.785
Sr  0.000  0.000  0.215
O  0.500  0.500  0.000
Pt  0.500  0.500  0.500

Calculated values
The value obtained for the energy relative to the elements, uncorrected is -134.8 kJ per mole of atoms.

The following is a DFT calculation (PBE-GGA) of a relaxed structure of SrPt3O.

Lattice parameters (Å, degrees): 5.284 5.284 5.284 90.00 90.00 90.00
Fractional positions:
Sr  0.000  0.000  0.000
O  0.500  0.500  0.500
Pt  0.000  0.500  0.000
Pt  0.000  0.000  0.500
Pt  0.500  0.000  0.000

Calculated values
The value obtained for the energy relative to the elements, uncorrected is 214.4 kJ per mole of atoms. The value obtained for the energy relative to the lowest polymorph listed for this composition is 2275 meV per atom.

The following is a DFT calculation (PBE-GGA) of a relaxed structure of SrPtO.

Lattice parameters (Å, degrees): 4.348 4.348 8.163 90.00 90.00 120.00
Fractional positions:
Sr  0.333  0.667  0.250
Sr  0.667  0.333  0.750
O  0.000  0.000  0.250
O  0.000  0.000  0.750
Pt  0.000  0.000  0.000
Pt  0.000  0.000  0.500

Calculated values
The value obtained for the energy relative to the elements, uncorrected is -126.9 kJ per mole of atoms.